Computed, not measured: a relaxed structure of BeNi2Rh2 at the GGA-PBE level of DFT.

Output
**Magnetization**: 0.361 μB per atom
**SG**: P4/mbm, No. 127
**Polymorph energy (0 for the lowest one)**: 0 kJ/mol of formula units
**Formation enthalpy at 0 K**: 0.052 eV per atom

Cell: 5.477 5.477 4.032 Å, 90.00 90.00 90.00°
Site moments in Bohr magnetons follow the coordinates.
Positions (direct):
Be  0.500  0.500  0.000  -0.03
Be  0.000  0.000  0.000  -0.03
Rh  0.830  0.330  0.500  0.49
Rh  0.170  0.670  0.500  0.49
Rh  0.670  0.830  0.500  0.55
Rh  0.330  0.170  0.500  0.55
Ni  0.646  0.146  0.000  0.42
Ni  0.354  0.854  0.000  0.42
Ni  0.854  0.646  0.000  0.43
Ni  0.146  0.354  0.000  0.43

---

Computed, not measured: a relaxed structure of Be4NiRh at the GGA-PBE level of DFT.

Output
**Magnetization**: 0.000 μB per atom
**SG**: Pmmm, No. 47
**Polymorph energy (0 for the lowest one)**: 182 kJ/mol of formula units
**Formation enthalpy at 0 K**: -0.102 eV per atom

Cell: 2.531 6.505 3.744 Å, 90.00 90.00 90.00°
Positions (direct):
Be  0.500  0.689  0.000
Be  0.000  0.210  0.500
Be  0.000  0.790  0.500
Be  0.500  0.311  0.000
Ni  0.500  0.500  0.500
Rh  0.000  0.000  0.000

---

Computed, not measured: a relaxed structure of BeNi2Rh2 at the GGA-PBE level of DFT.

Output
**Magnetization**: 0.350 μB per atom
**SG**: P4/mbm, No. 127
**Polymorph energy (0 for the lowest one)**: 38 kJ/mol of formula units
**Formation enthalpy at 0 K**: 0.132 eV per atom

Cell: 5.851 5.851 3.773 Å, 90.00 90.00 90.00°
Site moments in Bohr magnetons follow the coordinates.
Positions (direct):
Ni  0.150  0.650  0.500  0.54
Ni  0.350  0.150  0.500  0.58
Ni  0.850  0.350  0.500  0.54
Ni  0.650  0.850  0.500  0.58
Rh  0.847  0.653  0.000  0.35
Rh  0.653  0.153  0.000  0.34
Rh  0.347  0.847  0.000  0.34
Rh  0.153  0.347  0.000  0.35
Be  0.000  0.000  0.000  -0.01
Be  0.500  0.500  0.000  -0.01

---

Computed, not measured: a relaxed structure of Be2NiRh at the GGA-PBE level of DFT.

Output
**Magnetization**: 0.000 μB per atom
**SG**: I-42d, No. 122
**Formation enthalpy at 0 K**: -0.071 eV per atom

Cell: 5.830 5.830 4.845 Å, 53.01 53.01 90.00°
Positions (direct):
Be  0.875  0.861  0.750
Be  0.139  0.625  0.250
Be  0.375  0.389  0.750
Be  0.611  0.125  0.250
Ni  0.250  0.750  0.500
Ni  0.500  0.500  0.000
Rh  0.000  0.000  0.000
Rh  0.750  0.250  0.500

---

Computed, not measured: a relaxed structure of Be2NiRh at the GGA-PBE level of DFT.

Output
**Magnetization**: 0.000 μB per atom
**SG**: I-4m2, No. 119
**Formation enthalpy at 0 K**: -0.306 eV per atom

Cell: 4.528 4.528 4.528 Å, 137.76 137.76 61.27°
Positions (direct):
Rh  0.750  0.250  0.500
Ni  0.500  0.500  0.000
Be  0.000  0.000  0.000
Be  0.250  0.750  0.500

---

Computed, not measured: a relaxed structure of Be2NiRh at the GGA-PBE level of DFT.

Output
**Magnetization**: 0.000 μB per atom
**SG**: P4mm, No. 99
**Formation enthalpy at 0 K**: -0.334 eV per atom

Cell: 2.770 2.770 5.299 Å, 90.00 90.00 90.00°
Positions (direct):
Be  0.500  0.500  0.240
Be  0.000  0.000  0.020
Ni  0.000  0.000  0.454
Rh  0.500  0.500  0.786

---

Computed, not measured: a relaxed structure of Be4NiRh3 at the GGA-PBE level of DFT.

Output
**Magnetization**: 0.000 μB per atom
**SG**: Pmmm, No. 47
**Formation enthalpy at 0 K**: -0.604 eV per atom

Cell: 2.789 3.860 7.730 Å, 90.00 90.00 90.00°
Positions (direct):
Be  0.000  0.000  0.000
Be  0.000  0.500  0.246
Be  0.000  0.000  0.500
Be  0.000  0.500  0.754
Rh  0.500  0.000  0.761
Rh  0.500  0.500  0.500
Rh  0.500  0.000  0.239
Ni  0.500  0.500  0.000

---

Computed, not measured: a relaxed structure of BeNiRh at the GGA-PBE level of DFT.

Output
**Magnetization**: 0.280 μB per atom
**SG**: P-62m, No. 189
**Polymorph energy (0 for the lowest one)**: 24 kJ/mol of formula units
**Formation enthalpy at 0 K**: -0.233 eV per atom

Cell: 2.736 6.504 6.504 Å, 120.00 90.00 90.00°
Site moments in Bohr magnetons follow the coordinates.
Positions (direct):
Rh  0.500  0.725  0.725  0.38
Rh  0.500  0.275  0.000  0.38
Rh  0.500  0.000  0.275  0.38
Ni  0.000  0.612  0.000  0.51
Ni  0.000  0.000  0.612  0.51
Ni  0.000  0.388  0.388  0.51
Be  0.500  0.333  0.667  -0.02
Be  0.500  0.667  0.333  -0.02
Be  0.000  0.000  0.000  -0.01

---

Computed, not measured: a relaxed structure of BeNiRh at the GGA-PBE level of DFT.

Output
**Magnetization**: 0.000 μB per atom
**SG**: I4mm, No. 107
**Polymorph energy (0 for the lowest one)**: 0 kJ/mol of formula units
**Formation enthalpy at 0 K**: -0.318 eV per atom

Cell: 4.925 4.925 2.678 Å, 74.23 74.21 31.55°
Positions (direct):
Rh  0.652  0.652  0.348
Ni  0.354  0.354  0.646
Be  0.994  0.994  0.006

---

Computed, not measured: a relaxed structure of Be2NiRh2 at the GGA-PBE level of DFT.

Output
**Magnetization**: 0.175 μB per atom
**SG**: P4/mbm, No. 127
**Polymorph energy (0 for the lowest one)**: 123 kJ/mol of formula units
**Formation enthalpy at 0 K**: -0.178 eV per atom

Cell: 6.494 6.494 2.763 Å, 90.00 90.00 90.00°
Site moments in Bohr magnetons follow the coordinates.
Positions (direct):
Rh  0.145  0.355  0.000  0.13
Rh  0.855  0.645  0.000  0.13
Rh  0.645  0.145  0.000  0.16
Rh  0.355  0.855  0.000  0.16
Be  0.653  0.847  0.500  0.00
Be  0.153  0.653  0.500  0.00
Be  0.347  0.153  0.500  0.00
Be  0.847  0.347  0.500  0.00
Ni  0.000  0.000  0.000  0.59
Ni  0.500  0.500  0.000  0.59

---

Computed, not measured: a relaxed structure of Be3NiRh at the GGA-PBE level of DFT.

Output
**Magnetization**: 0.000 μB per atom
**SG**: Pm-3m, No. 221
**Polymorph energy (0 for the lowest one)**: 133 kJ/mol of formula units
**Formation enthalpy at 0 K**: 0.546 eV per atom

Cell: 4.067 4.067 4.067 Å, 90.00 90.00 90.00°
Positions (direct):
Ni  0.500  0.500  0.500
Be  0.000  0.000  0.500
Be  0.500  0.000  0.000
Be  0.000  0.500  0.000
Rh  0.000  0.000  0.000

---

Computed, not measured: a relaxed structure of Be3Ni2Rh at the GGA-PBE level of DFT.

Output
**Magnetization**: 0.000 μB per atom
**SG**: P4/mmm, No. 123
**Formation enthalpy at 0 K**: -0.521 eV per atom

Cell: 2.701 2.701 7.918 Å, 90.00 90.00 90.00°
Positions (direct):
Be  0.000  0.000  0.326
Be  0.000  0.000  0.674
Be  0.000  0.000  0.000
Ni  0.500  0.500  0.159
Ni  0.500  0.500  0.841
Rh  0.500  0.500  0.500

---

Computed, not measured: a relaxed structure of BeNi2RhS at the GGA-PBE level of DFT.

Output
**Magnetization**: 0.373 μB per atom
**SG**: P4/mmm, No. 123
**ΔE_f (raw)**: 112 kJ per mole of atoms

Cell: 4.622 4.289 4.622 Å, 90.00 90.00 90.00°
Site moments in Bohr magnetons follow the coordinates.
Positions (direct):
S  0.000  0.500  0.000  0.01
Be  0.500  0.500  0.500  -0.01
Rh  0.000  0.000  0.000  0.48
Ni  0.500  0.000  0.000  0.46
Ni  0.000  0.000  0.500  0.96

---

Computed, not measured: a relaxed structure of ScBeNiRh2 at the GGA-PBE level of DFT.

Output
**Magnetization**: 0.127 μB per atom
**SG**: P4/mmm, No. 123
**Formation enthalpy at 0 K**: -0.458 eV per atom

Cell: 4.183 4.183 3.975 Å, 90.00 90.00 90.00°
Site moments in Bohr magnetons follow the coordinates.
Positions (direct):
Rh  0.500  0.000  0.000  0.20
Rh  0.000  0.500  0.000  0.20
Be  0.000  0.000  0.000  -0.01
Sc  0.500  0.500  0.500  -0.04
Ni  0.000  0.000  0.500  0.36

---

Computed, not measured: a relaxed structure of ScBeNiRh at the GGA-PBE level of DFT.

Output
**Magnetization**: 0.000 μB per atom
**SG**: F-43m, No. 216
**Formation enthalpy at 0 K**: -0.518 eV per atom

Cell: 4.221 4.221 4.221 Å, 60.00 60.00 60.00°
Positions (direct):
Sc  0.500  0.500  0.500
Be  0.000  0.000  0.000
Rh  0.750  0.750  0.750
Ni  0.250  0.250  0.250

---

Computed, not measured: a relaxed structure of TaBeNiRh at the GGA-PBE level of DFT.

Output
**Magnetization**: 0.000 μB per atom
**SG**: F-43m, No. 216
**Formation enthalpy at 0 K**: -0.327 eV per atom

Cell: 4.218 4.218 4.218 Å, 60.00 60.00 60.00°
Positions (direct):
Be  0.000  0.000  0.000
Rh  0.750  0.750  0.750
Ni  0.250  0.250  0.250
Ta  0.500  0.500  0.500

---

Computed, not measured: a relaxed structure of TiBeNiRh at the GGA-PBE level of DFT.

Output
**Magnetization**: 0.000 μB per atom
**SG**: F-43m, No. 216
**Formation enthalpy at 0 K**: -0.554 eV per atom

Cell: 4.116 4.116 4.116 Å, 60.00 60.00 60.00°
Positions (direct):
Be  0.750  0.750  0.750
Ti  0.250  0.250  0.250
Ni  0.500  0.500  0.500
Rh  0.000  0.000  0.000

---

Computed, not measured: a relaxed structure of YBeNiRh2 at the GGA-PBE level of DFT.

Output
**Magnetization**: 0.112 μB per atom
**SG**: P4/mmm, No. 123
**Formation enthalpy at 0 K**: -0.501 eV per atom

Cell: 4.268 4.268 4.098 Å, 90.00 90.00 90.00°
Site moments in Bohr magnetons follow the coordinates.
Positions (direct):
Ni  0.000  0.000  0.500  0.33
Be  0.000  0.000  0.000  -0.01
Rh  0.500  0.000  0.000  0.16
Rh  0.000  0.500  0.000  0.16
Y  0.500  0.500  0.500  -0.03

---

Computed, not measured: a relaxed structure of BeZnNiRh at the GGA-PBE level of DFT.

Output
**Magnetization**: 0.000 μB per atom
**SG**: F-43m, No. 216
**Formation enthalpy at 0 K**: -0.370 eV per atom

Cell: 4.038 4.038 4.038 Å, 60.00 60.00 60.00°
Positions (direct):
Rh  0.750  0.750  0.750
Be  0.000  0.000  0.000
Ni  0.250  0.250  0.250
Zn  0.500  0.500  0.500

---

Computed, not measured: a relaxed structure of Be16NiRu2 at the GGA-PBE level of DFT.

Output
**Magnetization**: 0.000 μB per atom
**SG**: R3m, No. 160
**Formation enthalpy at 0 K**: -0.235 eV per atom

Cell: 5.478 5.478 5.478 Å, 82.51 82.51 82.51°
Positions (direct):
Be  0.999  0.694  0.305
Be  0.651  0.157  0.651
Be  0.999  0.305  0.694
Be  0.109  0.109  0.109
Be  0.835  0.351  0.351
Be  0.305  0.999  0.694
Be  0.351  0.351  0.835
Be  0.999  0.503  0.999
Be  0.651  0.651  0.157
Be  0.351  0.835  0.351
Be  0.503  0.999  0.999
Be  0.157  0.651  0.651
Be  0.694  0.999  0.305
Be  0.999  0.999  0.503
Be  0.694  0.305  0.999
Be  0.305  0.694  0.999
Ru  0.333  0.333  0.333
Ru  0.657  0.657  0.657
Ni  0.911  0.911  0.911

---

Number 1: E_tot -5.946 eV/atom, Fermi-level density of states 1.5117 states/eV per atom. Number 2: E_tot -4.775 eV/atom, Fermi-level density of states 0.4452 states/eV per atom. Number 3: E_tot -5.867 eV/atom, Fermi-level density of states 1.1721 states/eV per atom. Number 4: E_tot -5.217 eV/atom, Fermi-level density of states 0.7267 states/eV per atom. Number 5: E_tot -5.452 eV/atom, Fermi-level density of states 0.8518 states/eV per atom. Number 6: E_tot -5.480 eV/atom, Fermi-level density of states 0.6720 states/eV per atom. Number 7: E_tot -5.946 eV/atom, Fermi-level density of states 0.4594 states/eV per atom. Number 8: E_tot -5.853 eV/atom, Fermi-level density of states 1.1742 states/eV per atom. Number 9: E_tot -5.937 eV/atom, Fermi-level density of states 1.1388 states/eV per atom. Number 10: E_tot -5.766 eV/atom, Fermi-level density of states 1.0221 states/eV per atom. Number 11: E_tot -4.316 eV/atom, Fermi-level density of states 0.4822 states/eV per atom. Number 12: E_tot -5.537 eV/atom, Fermi-level density of states 0.3029 states/eV per atom. Number 13: E_tot -4.198 eV/atom, Fermi-level density of states 1.3110 states/eV per atom. Number 14: E_tot -6.566 eV/atom, Fermi-level density of states 0.8177 states/eV per atom. Number 15: E_tot -6.315 eV/atom, Fermi-level density of states 0.4164 states/eV per atom. Number 16: E_tot -7.505 eV/atom, Fermi-level density of states 0.9935 states/eV per atom. Number 17: E_tot -6.743 eV/atom, Fermi-level density of states 0.7478 states/eV per atom. Number 18: E_tot -6.636 eV/atom, Fermi-level density of states 0.9231 states/eV per atom. Number 19: E_tot -4.903 eV/atom, Fermi-level density of states 0.3357 states/eV per atom. Number 20: E_tot -4.653 eV/atom, Fermi-level density of states 0.3169 states/eV per atom.